The following is a DFT calculation (GGA+U) of an optimized crystal structure of VSIO2.

```
VSIO2
1.0
3.7867 0.0000 0.0000
0.0000 3.7867 0.0000
0.0000 0.0000 6.1709
V S I O
1 1 1 2
Direct
0.0000 0.0000 0.0000 V
0.5000 0.5000 0.5000 S
0.0000 0.0000 0.5000 I
0.0000 0.5000 0.0000 O
0.5000 0.0000 0.0000 O
```

**ρ**: 4540 kg/m3
**VASP energy**: -0.3779 Ry per atom
**Magnetic moment**: 0.141 μB per atom